1.
## LiCuNi (PBE-GGA)

Data for a relaxed LiCuNi crystal.

Total magnetization ... 0.00 μB per formula unit
E_form ... 39.0 kJ per mole of atoms
ΔE to the lowest computed polymorph ... 452 meV per atom
Total energy ... -3.526 eV per atom

a = 3.921 Å, b = 3.921 Å, c = 3.921 Å
α = 60.00°, β = 60.00°, γ = 60.00°
Fractional coordinates of all 3 atoms:
Cu 0.000 0.000 0.000
Li 0.500 0.500 0.500
Ni 0.750 0.750 0.750

---

2.
## Er2MgOs (PBE-GGA)

Data for a relaxed Er2MgOs crystal.

Total magnetization ... 0.00 μB per formula unit
E_form ... -17.5 kJ per mole of atoms
Total energy ... -5.669 eV per atom

a = 4.953 Å, b = 4.953 Å, c = 4.953 Å
α = 60.00°, β = 60.00°, γ = 60.00°
Fractional coordinates of all 4 atoms:
Mg 0.250 0.250 0.250
Os 0.750 0.750 0.750
Er 0.000 0.000 0.000
Er 0.500 0.500 0.500

---

3.
## NaSi2HgTe6 (PBE-GGA)

Data for a relaxed NaSi2HgTe6 crystal.

Total magnetization ... 0.00 μB per formula unit
Total energy ... -3.253 eV per atom
Formation energy from raw total energies ... -0.122 eV/atom

a = 7.281 Å, b = 10.066 Å, c = 10.066 Å
α = 85.89°, β = 75.52°, γ = 75.52°
Fractional coordinates of all 20 atoms:
Na 0.250 0.852 0.148
Na 0.750 0.148 0.852
Si 0.283 0.782 0.642
Si 0.217 0.358 0.218
Si 0.717 0.218 0.358
Si 0.783 0.642 0.782
Hg 0.250 0.277 0.723
Hg 0.750 0.723 0.277
Te 0.174 0.952 0.835
Te 0.326 0.165 0.048
Te 0.826 0.048 0.165
Te 0.674 0.835 0.952
Te 0.405 0.890 0.407
Te 0.095 0.593 0.110
Te 0.595 0.110 0.593
Te 0.905 0.407 0.890
Te 0.020 0.700 0.565
Te 0.480 0.435 0.300
Te 0.980 0.300 0.435
Te 0.520 0.565 0.700

---

4.
## Ag2Ir4C (PBE-GGA)

Data for a relaxed Ag2Ir4C crystal.

Total magnetization ... 0.00 μB per formula unit
E_form ... 77.3 kJ per mole of atoms
Total energy ... -6.395 eV per atom

a = 4.029 Å, b = 4.029 Å, c = 7.567 Å
α = 74.56°, β = 74.56°, γ = 90.00°
Fractional coordinates of all 7 atoms:
C 0.000 0.000 0.000
Ir 0.859 0.859 0.283
Ir 0.141 0.141 0.717
Ir 0.000 0.500 0.000
Ir 0.500 0.000 0.000
Ag 0.668 0.668 0.664
Ag 0.332 0.332 0.336

---

5.
## TaPbC3 (PBE-GGA)

Data for a relaxed TaPbC3 crystal.

Total magnetization ... 0.00 μB per formula unit
E_form ... 153.9 kJ per mole of atoms
ΔE to the lowest computed polymorph ... 0 meV per atom
Total energy ... -7.052 eV per atom

a = 4.280 Å, b = 4.280 Å, c = 4.280 Å
α = 90.00°, β = 90.00°, γ = 90.00°
Fractional coordinates of all 5 atoms:
Pb 0.500 0.500 0.500
C 0.000 0.500 0.000
C 0.000 0.000 0.500
C 0.500 0.000 0.000
Ta 0.000 0.000 0.000

---

6.
## ZrTa2Sn (PBE-GGA)

Data for a relaxed ZrTa2Sn crystal.

Total magnetization ... 0.00 μB per formula unit
E_form ... -21.5 kJ per mole of atoms
Total energy ... -9.287 eV per atom

a = 3.734 Å, b = 4.344 Å, c = 10.441 Å
α = 102.09°, β = 90.00°, γ = 90.00°
Fractional coordinates of all 8 atoms:
Zr 0.250 0.307 0.614
Zr 0.750 0.693 0.386
Ta 0.750 0.443 0.886
Ta 0.250 0.557 0.114
Ta 0.250 0.946 0.892
Ta 0.750 0.054 0.108
Sn 0.750 0.838 0.677
Sn 0.250 0.162 0.323

---

7.
## LaY2SnAu (PBE-GGA)

Data for a relaxed LaY2SnAu crystal.

Total magnetization ... 0.00 μB per formula unit
E_form ... 88.3 kJ per mole of atoms
Total energy ... -4.112 eV per atom

a = 5.681 Å, b = 5.712 Å, c = 5.681 Å
α = 90.00°, β = 90.00°, γ = 90.00°
Fractional coordinates of all 5 atoms:
Y 0.000 0.000 0.500
Y 0.500 0.000 0.000
Au 0.500 0.500 0.500
Sn 0.000 0.500 0.000
La 0.000 0.000 0.000

---

8.
## Al2IrBr (PBE-GGA)

Data for a relaxed Al2IrBr crystal.

Total magnetization ... 0.00 μB per formula unit
ΔE to the lowest computed polymorph ... 446 meV per atom
Total energy ... -4.572 eV per atom
Formation energy from raw total energies ... -0.067 eV/atom

a = 4.821 Å, b = 2.960 Å, c = 4.827 Å
α = 90.02°, β = 90.00°, γ = 90.00°
Fractional coordinates of all 4 atoms:
Ir 0.500 0.755 0.875
Al 0.000 0.164 0.875
Al 0.500 0.162 0.375
Br 0.000 0.419 0.375

---

9.
## CsKTl2Pt (PBE-GGA)

Data for a relaxed CsKTl2Pt crystal.

Total magnetization ... 0.00 μB per formula unit
E_form ... -7.7 kJ per mole of atoms
ΔE to the lowest computed polymorph ... 17 meV per atom
Total energy ... -2.625 eV per atom

a = 5.854 Å, b = 4.791 Å, c = 7.835 Å
α = 107.80°, β = 111.93°, γ = 90.00°
Fractional coordinates of all 5 atoms:
Cs 0.447 0.447 0.893
K 0.210 0.710 0.421
Tl 0.719 0.219 0.438
Tl 0.015 0.015 0.031
Pt 0.821 0.821 0.641

---

10.
## Ir2Ru8Rh3 (PBE-GGA)

Data for a relaxed Ir2Ru8Rh3 crystal.

Total magnetization ... 0.00 μB per formula unit
E_form ... 43.9 kJ per mole of atoms
Total energy ... -8.313 eV per atom

a = 6.680 Å, b = 6.680 Å, c = 5.222 Å
α = 74.45°, β = 74.45°, γ = 64.17°
Fractional coordinates of all 13 atoms:
Ir 0.202 0.202 0.588
Ir 0.798 0.798 0.412
Ru 0.581 0.581 0.770
Ru 0.419 0.419 0.230
Ru 0.203 0.203 0.075
Ru 0.797 0.797 0.925
Ru 0.564 0.199 0.680
Ru 0.199 0.564 0.680
Ru 0.801 0.436 0.320
Ru 0.436 0.801 0.320
Rh 0.000 0.000 0.500
Rh 0.176 0.824 0.000
Rh 0.824 0.176 0.000

---

11.
## Rb6CeCl8 (PBE-GGA)

Data for a relaxed Rb6CeCl8 crystal.

Total magnetization ... 1.44 μB per formula unit
Total energy ... -3.689 eV per atom
Formation energy from raw total energies ... -1.922 eV/atom

a = 9.567 Å, b = 9.567 Å, c = 9.567 Å
α = 60.00°, β = 60.00°, γ = 60.00°
Each line ends with the local moment (μB).
Fractional coordinates of all 15 atoms:
Rb 0.000 0.500 0.500  0.00
Rb 0.500 0.000 0.000  0.00
Rb 0.500 0.500 0.000  0.00
Rb 0.000 0.000 0.500  0.00
Rb 0.000 0.500 0.000  0.00
Rb 0.500 0.000 0.500  0.00
Ce 0.000 0.000 0.000  1.36
Cl 0.750 0.750 0.750  0.00
Cl 0.250 0.250 0.250  0.00
Cl 0.788 0.212 0.212  0.00
Cl 0.212 0.788 0.788  0.00
Cl 0.212 0.212 0.788  0.00
Cl 0.788 0.788 0.212  0.00
Cl 0.788 0.212 0.788  0.00
Cl 0.212 0.788 0.212  0.00

---

12.
## Hf4Sn (PBE-GGA)

Data for a relaxed Hf4Sn crystal.

Total magnetization ... 0.00 μB per formula unit
E_form ... -8.4 kJ per mole of atoms
ΔE to the lowest computed polymorph ... 0 meV per atom
Total energy ... -8.850 eV per atom

a = 4.868 Å, b = 6.054 Å, c = 8.350 Å
α = 111.25°, β = 106.95°, γ = 90.00°
Fractional coordinates of all 10 atoms:
Hf 0.101 0.351 0.202
Hf 0.899 0.649 0.798
Hf 0.500 0.000 0.000
Hf 0.500 0.500 0.000
Hf 0.697 0.202 0.394
Hf 0.303 0.798 0.606
Hf 0.303 0.308 0.606
Hf 0.697 0.692 0.394
Sn 0.891 0.141 0.781
Sn 0.109 0.859 0.219

---

13.
## TbCdGa4 (PBE-GGA)

Data for a relaxed TbCdGa4 crystal.

Total magnetization ... 0.00 μB per formula unit
E_form ... -19.9 kJ per mole of atoms
Total energy ... -3.149 eV per atom

a = 5.563 Å, b = 5.563 Å, c = 5.563 Å
α = 60.00°, β = 60.00°, γ = 60.00°
Fractional coordinates of all 6 atoms:
Tb 0.250 0.250 0.250
Ga 0.625 0.625 0.126
Ga 0.625 0.126 0.625
Ga 0.625 0.625 0.625
Ga 0.126 0.625 0.625
Cd 0.000 0.000 0.000

---

14.
## CaMg11Al (PBE-GGA)

Data for a relaxed CaMg11Al crystal.

Total magnetization ... 0.00 μB per formula unit
E_form ... -2.8 kJ per mole of atoms
Total energy ... -1.820 eV per atom

a = 5.890 Å, b = 7.777 Å, c = 7.835 Å
α = 82.18°, β = 67.92°, γ = 68.79°
Fractional coordinates of all 13 atoms:
Ca 0.000 0.000 0.000
Mg 0.289 0.218 0.211
Mg 0.711 0.782 0.789
Mg 0.499 0.782 0.211
Mg 0.501 0.218 0.789
Mg 0.354 0.643 0.652
Mg 0.646 0.357 0.348
Mg 0.994 0.357 0.652
Mg 0.006 0.643 0.348
Mg 0.000 0.500 0.000
Mg 0.500 0.000 0.500
Mg 0.000 0.000 0.500
Al 0.500 0.500 0.000